VASP calculation (PBE-GGA) on a relaxed Ac4SbTeP2 crystal.

Unit cell a=6.544 b=6.544 c=7.972 alpha=114.23 beta=114.23 gamma=90.00
Fractional positions:
Ac  0.485  0.985  0.970
Sb  0.500  0.500  0.000
Ac  0.238  0.238  0.476
Te  0.750  0.250  0.500
P  0.000  0.000  0.000
P  0.250  0.750  0.500
Ac  0.015  0.515  0.029
Ac  0.762  0.762  0.524

Values from the calculation:
The formation energy without anion corrections is -1409 meV per atom.